[1]
EuLuIr GGA-PBE optimized geometry; ΔE_f = -49 kJ per mole of atoms; energy above the lowest structure with this stoichiometry = 6.0 kJ/mol of formula units; D(E_F) = 8.4 states/eV/cell; spin magnetization = 2.336 μB per atom
1.0
-1.600 -1.771 -2.463
-0.947 -2.354 2.308
-4.264 5.437 1.248
Ir Eu Lu
1 1 1
direct
0.679 0.679 0.359
0.032 0.032 0.064
0.289 0.289 0.577



[2]
TcHgGeOsW GGA-PBE optimized geometry; ΔE_f = 25 kJ per mole of atoms; energy above the lowest structure with this stoichiometry = 27.3 kJ/mol of formula units; D(E_F) = 8.8 states/eV/cell; spin magnetization = 0.000 μB per atom
1.0
11.604 0.000 0.006
0.000 2.889 0.000
-0.751 0.000 5.027
Hg Ge Tc Os W
2 2 2 2 2
direct
0.902 0.500 0.232
0.902 0.000 0.732
0.661 0.000 0.654
0.661 0.500 0.154
0.491 0.000 0.266
0.491 0.500 0.766
0.119 0.500 0.644
0.119 0.000 0.144
0.300 0.500 0.382
0.300 0.000 0.882



[3]
Tb6Ho12Sc GGA-PBE optimized geometry; ΔE_f = 15 kJ per mole of atoms; energy above the lowest structure with this stoichiometry = 0.0 kJ/mol of formula units; D(E_F) = 32.2 states/eV/cell; spin magnetization = 0.000 μB per atom
1.0
-2.232 -6.793 4.504
8.088 -1.951 1.479
0.001 4.477 7.167
Ho Tb Sc
12 6 1
direct
0.013 0.200 0.355
0.438 0.777 0.540
0.562 0.223 0.460
0.355 0.013 0.200
0.223 0.460 0.562
0.540 0.438 0.777
0.987 0.800 0.645
0.460 0.562 0.223
0.200 0.355 0.013
0.800 0.645 0.987
0.645 0.987 0.800
0.777 0.540 0.438
0.257 0.092 0.696
0.092 0.696 0.257
0.304 0.743 0.908
0.696 0.257 0.092
0.743 0.908 0.304
0.908 0.304 0.743
0.000 0.000 0.000